No. 1
Rb2NaPmBr6 | PBE-GGA | relaxed

```
data_Rb2NaPmBr6
_cell_length_a 7.9415
_cell_length_b 8.2745
_cell_length_c 13.8052
_cell_angle_alpha 90.00
_cell_angle_beta 124.56
_cell_angle_gamma 90.00
_symmetry_space_group_name_H-M 'P 1 21/c 1'
_symmetry_Int_Tables_number 14
_symmetry_space_group_name_Hall '-P 2ybc'
loop_
_atom_site_label
_atom_site_type_symbol
_atom_site_fract_x
_atom_site_fract_y
_atom_site_fract_z
Rb1 Rb 0.2276 0.0653 0.2482
Na1 Na 0.0000 0.0000 0.5000
Pm1 Pm 0.5000 0.0000 0.0000
Br1 Br 0.1635 0.1971 0.9563
Br2 Br 0.2614 0.7113 0.9556
Br3 Br 0.3414 0.0200 0.7540
```

Output
VASP energy in eV per atom: -3.60

---

No. 2
NaPmSn2Br8 | PBE-GGA | relaxed

```
data_NaPmSn2Br8
_cell_length_a 6.8292
_cell_length_b 8.8195
_cell_length_c 7.1981
_cell_angle_alpha 90.00
_cell_angle_beta 91.21
_cell_angle_gamma 90.00
_symmetry_space_group_name_H-M 'P 1 2/m 1'
_symmetry_Int_Tables_number 10
_symmetry_space_group_name_Hall '-P 2y'
loop_
_atom_site_label
_atom_site_type_symbol
_atom_site_fract_x
_atom_site_fract_y
_atom_site_fract_z
Na1 Na 0.0000 0.0000 0.0000
Pm1 Pm 0.0000 0.5000 0.0000
Sn1 Sn 0.5000 0.2428 0.5000
Br1 Br 0.2358 0.2571 0.1567
Br2 Br 0.2421 0.5000 0.6743
Br3 Br 0.2707 0.0000 0.6545
```

Output
VASP energy in eV per atom: -3.54

---

No. 3
NaPmSnBr6 | PBE-GGA | relaxed

```
data_NaPmSnBr6
_cell_length_a 7.4193
_cell_length_b 7.4193
_cell_length_c 13.1583
_cell_angle_alpha 90.00
_cell_angle_beta 90.00
_cell_angle_gamma 120.00
_symmetry_space_group_name_H-M 'P -3 1 c'
_symmetry_Int_Tables_number 163
_symmetry_space_group_name_Hall '-P 3 2c'
loop_
_atom_site_label
_atom_site_type_symbol
_atom_site_fract_x
_atom_site_fract_y
_atom_site_fract_z
Na1 Na 0.3333 0.6667 0.2500
Pm1 Pm 0.3333 0.6667 0.7500
Sn1 Sn 0.0000 0.0000 0.0000
Br1 Br 0.0106 0.3467 0.6256
```

Output
VASP energy in eV per atom: -3.65

---

No. 4
NaSrPmBr6 | PBE-GGA | relaxed

```
data_NaSrPmBr6
_cell_length_a 7.6251
_cell_length_b 7.6251
_cell_length_c 13.2125
_cell_angle_alpha 90.00
_cell_angle_beta 90.00
_cell_angle_gamma 120.00
_symmetry_space_group_name_H-M 'P -3 1 c'
_symmetry_Int_Tables_number 163
_symmetry_space_group_name_Hall '-P 3 2c'
loop_
_atom_site_label
_atom_site_type_symbol
_atom_site_fract_x
_atom_site_fract_y
_atom_site_fract_z
Na1 Na 0.0000 0.0000 0.0000
Sr1 Sr 0.3333 0.6667 0.2500
Pm1 Pm 0.3333 0.6667 0.7500
Br1 Br 0.0182 0.3550 0.6266
```

Output
VASP energy in eV per atom: -3.86

---

No. 5
NaPmTl2Br6 | PBE-GGA | relaxed

```
data_NaPmTl2Br6
_cell_length_a 7.7349
_cell_length_b 8.2184
_cell_length_c 13.4543
_cell_angle_alpha 90.00
_cell_angle_beta 123.92
_cell_angle_gamma 90.00
_symmetry_space_group_name_H-M 'P 1 21/c 1'
_symmetry_Int_Tables_number 14
_symmetry_space_group_name_Hall '-P 2ybc'
loop_
_atom_site_label
_atom_site_type_symbol
_atom_site_fract_x
_atom_site_fract_y
_atom_site_fract_z
Na1 Na 0.0000 0.0000 0.0000
Pm1 Pm 0.5000 0.0000 0.5000
Tl1 Tl 0.2151 0.0791 0.7433
Br1 Br 0.1457 0.1905 0.4485
Br2 Br 0.2565 0.7063 0.4420
Br3 Br 0.3673 0.0319 0.2536
```

Output
VASP energy in eV per atom: -3.51

---

No. 6
Na2PmTlBr6 | PBE-GGA | relaxed

```
data_Na2PmTlBr6
_cell_length_a 7.6656
_cell_length_b 7.6656
_cell_length_c 20.9491
_cell_angle_alpha 90.00
_cell_angle_beta 90.00
_cell_angle_gamma 120.00
_symmetry_space_group_name_H-M 'R 3'
_symmetry_Int_Tables_number 146
_symmetry_space_group_name_Hall 'R 3'
loop_
_atom_site_label
_atom_site_type_symbol
_atom_site_fract_x
_atom_site_fract_y
_atom_site_fract_z
Na1 Na 0.0000 0.0000 0.0000
Na2 Na 0.0000 0.0000 0.4873
Pm1 Pm 0.0000 0.0000 0.6814
Tl1 Tl 0.0000 0.0000 0.1980
Br1 Br 0.0027 0.3469 0.4176
Br2 Br 0.0235 0.6205 0.2583
```

Output
VASP energy in eV per atom: -3.53

---

No. 7
Na5Pr3Br12 | PBE-GGA | relaxed

```
data_Na5Pr3Br12
_cell_length_a 17.2999
_cell_length_b 17.2999
_cell_length_c 17.2999
_cell_angle_alpha 90.00
_cell_angle_beta 90.00
_cell_angle_gamma 90.00
_symmetry_space_group_name_H-M 'I a -3 d'
_symmetry_Int_Tables_number 230
_symmetry_space_group_name_Hall '-I 4bd 2c 3'
loop_
_atom_site_label
_atom_site_type_symbol
_atom_site_fract_x
_atom_site_fract_y
_atom_site_fract_z
Na1 Na 0.0000 0.0000 0.0000
Na2 Na 0.0000 0.2500 0.3750
Pr1 Pr 0.0000 0.2500 0.1250
Br1 Br 0.0207 0.0696 0.6540
```

Output
VASP energy in eV per atom: -3.58

---

No. 8
Na6PrBr8 | PBE-GGA | relaxed

```
data_Na6PrBr8
_cell_length_a 12.1965
_cell_length_b 12.1965
_cell_length_c 12.1965
_cell_angle_alpha 90.00
_cell_angle_beta 90.00
_cell_angle_gamma 90.00
_symmetry_space_group_name_H-M 'F m -3 m'
_symmetry_Int_Tables_number 225
_symmetry_space_group_name_Hall '-F 4 2 3'
loop_
_atom_site_label
_atom_site_type_symbol
_atom_site_fract_x
_atom_site_fract_y
_atom_site_fract_z
Na1 Na 0.0000 0.2500 0.2500
Pr1 Pr 0.0000 0.0000 0.0000
Br1 Br 0.0000 0.0000 0.2466
Br2 Br 0.2500 0.2500 0.2500
```

Output
VASP energy in eV per atom: -3.26

---

No. 9
Na3PrBr6 | PBE-GGA | relaxed

```
data_Na3PrBr6
_cell_length_a 7.4445
_cell_length_b 7.8483
_cell_length_c 13.2618
_cell_angle_alpha 90.00
_cell_angle_beta 123.08
_cell_angle_gamma 90.00
_symmetry_space_group_name_H-M 'P 1 21/c 1'
_symmetry_Int_Tables_number 14
_symmetry_space_group_name_Hall '-P 2ybc'
loop_
_atom_site_label
_atom_site_type_symbol
_atom_site_fract_x
_atom_site_fract_y
_atom_site_fract_z
Na1 Na 0.0000 0.0000 0.0000
Na2 Na 0.2071 0.0745 0.7279
Pr1 Pr 0.5000 0.0000 0.5000
Br1 Br 0.1124 0.1808 0.4390
Br2 Br 0.2360 0.6903 0.4098
Br3 Br 0.4040 0.0785 0.2586
```

Output
VASP energy in eV per atom: -3.54
Offset from the most stable computed form in eV per atom: 0.016

---

No. 10
NaPr2Br | PBE-GGA | relaxed

```
data_NaPr2Br
_cell_length_a 3.6249
_cell_length_b 3.6249
_cell_length_c 36.4153
_cell_angle_alpha 90.00
_cell_angle_beta 90.00
_cell_angle_gamma 120.00
_symmetry_space_group_name_H-M 'R -3 m'
_symmetry_Int_Tables_number 166
_symmetry_space_group_name_Hall '-R 3 2"'
loop_
_atom_site_label
_atom_site_type_symbol
_atom_site_fract_x
_atom_site_fract_y
_atom_site_fract_z
Na1 Na 0.0000 0.0000 0.0000
Pr1 Pr 0.0000 0.0000 0.0996
Br1 Br 0.0000 0.0000 0.5000
```

Output
VASP energy in eV per atom: -3.49

---

No. 11
Na2PrBr4 | PBE-GGA | relaxed

```
data_Na2PrBr4
_cell_length_a 5.9348
_cell_length_b 5.9348
_cell_length_c 15.1549
_cell_angle_alpha 90.00
_cell_angle_beta 90.00
_cell_angle_gamma 90.00
_symmetry_space_group_name_H-M 'I 4/m m m'
_symmetry_Int_Tables_number 139
_symmetry_space_group_name_Hall '-I 4 2'
loop_
_atom_site_label
_atom_site_type_symbol
_atom_site_fract_x
_atom_site_fract_y
_atom_site_fract_z
Na1 Na 0.0000 0.0000 0.1241
Pr1 Pr 0.0000 0.0000 0.5000
Br1 Br 0.0000 0.0000 0.3100
Br2 Br 0.0000 0.5000 0.0000
```

Output
VASP energy in eV per atom: -3.41
Offset from the most stable computed form in eV per atom: 0.176

---

No. 12
NaPrBr | PBE-GGA | relaxed

```
data_NaPrBr
_cell_length_a 3.8390
_cell_length_b 3.8390
_cell_length_c 30.0539
_cell_angle_alpha 90.00
_cell_angle_beta 90.00
_cell_angle_gamma 120.00
_symmetry_space_group_name_H-M 'P -3 m 1'
_symmetry_Int_Tables_number 164
_symmetry_space_group_name_Hall '-P 3 2"'
loop_
_atom_site_label
_atom_site_type_symbol
_atom_site_fract_x
_atom_site_fract_y
_atom_site_fract_z
Na1 Na 0.3333 0.6667 0.3152
Na2 Na 0.3333 0.6667 0.4440
Pr1 Pr 0.3333 0.6667 0.7951
Pr2 Pr 0.3333 0.6667 0.9509
Br1 Br 0.3333 0.6667 0.1291
Br2 Br 0.3333 0.6667 0.6182
```

Output
VASP energy in eV per atom: -3.38

---

Number 1: formation energy from raw total energies -1798 meV/atom. Number 2: formation energy from raw total energies -1252 meV/atom. Number 3: formation energy from raw total energies -1416 meV/atom. Number 4: formation energy from raw total energies -1879 meV/atom. Number 5: formation energy from raw total energies -1423 meV/atom. Number 6: formation energy from raw total energies -1549 meV/atom. Number 7: formation energy from raw total energies -1526 meV/atom. Number 8: formation energy from raw total energies -1526 meV/atom. Number 9: formation energy from raw total energies -1668 meV/atom. Number 10: formation energy from raw total energies -355 meV/atom. Number 11: formation energy from raw total energies -1390 meV/atom. Number 12: formation energy from raw total energies -793 meV/atom.